1.
Compound: K2Nb3Se6
Source: Alexandria
Functional: meta-GGA SCAN
Structure: single point on PBEsol structure

## Properties
E_form (uncorrected)   -1153 meV per atom
Symmetry   Amm2 (38)

Cell: 6.0714 6.0714 16.4477 Å, 90.00 90.00 120.00°
Closest atoms and distances in Å follow each position.
Positions (direct):
1 K 0.9998 0.6675 0.5000  6 Se 3.19, 3 K 3.50-3.51
2 K 0.3323 0.3325 0.5000  6 Se 3.19, 3 K 3.50-3.51
3 K 0.3330 0.6663 0.0000  6 Se 3.21, 3 K 3.50-3.51
4 K 0.6666 0.3337 0.0000  6 Se 3.21, 3 K 3.50-3.51
5 Nb 0.3324 0.6656 0.7497  6 Se 2.60-2.61
6 Nb 0.0012 0.0000 0.7488  6 Se 2.60-2.61
7 Nb 0.6668 0.3344 0.7497  6 Se 2.60-2.61
8 Nb 0.3324 0.6656 0.2503  6 Se 2.60-2.61
9 Nb 0.0012 0.0000 0.2512  6 Se 2.60-2.61
10 Nb 0.6668 0.3344 0.2503  6 Se 2.60-2.61
11 Se 0.9995 0.3297 0.8492  3 Nb 2.60-2.61
12 Se 0.6698 0.6703 0.8492  3 Nb 2.60-2.61
13 Se 0.3310 0.0000 0.8492  3 Nb 2.60-2.61
14 Se 0.9995 0.3297 0.1508  3 Nb 2.60-2.61
15 Se 0.6698 0.6703 0.1508  3 Nb 2.60-2.61
16 Se 0.3310 0.0000 0.1508  3 Nb 2.60-2.61
17 Se 0.9972 0.3313 0.6497  3 Nb 2.60-2.61
18 Se 0.6659 0.6687 0.6497  3 Nb 2.60-2.61
19 Se 0.3373 0.0000 0.6497  3 Nb 2.60-2.61
20 Se 0.9972 0.3313 0.3503  3 Nb 2.60-2.61
21 Se 0.6659 0.6687 0.3503  3 Nb 2.60-2.61
22 Se 0.3373 0.0000 0.3503  3 Nb 2.60-2.61

---

2.
Compound: KNb3Si
Source: Alexandria
Functional: meta-GGA SCAN
Structure: single point on PBEsol structure

## Properties
E_form (uncorrected)   1150 meV per atom
Symmetry   Pm-3m (221)

Cell: 4.8403 4.8403 4.8403 Å, 90.00 90.00 90.00°
Closest atoms and distances in Å follow each position.
Positions (direct):
1 Nb 0.0000 0.5000 0.0000  2 Si 2.42
2 Nb 0.0000 0.0000 0.5000  2 Si 2.42
3 Nb 0.5000 0.0000 0.0000  2 Si 2.42
4 Si 0.0000 0.0000 0.0000  6 Nb 2.42
5 K 0.5000 0.5000 0.5000  12 Nb 3.42

---

3.
Compound: KSrNb2Zn
Source: Alexandria
Functional: meta-GGA SCAN
Structure: single point on PBEsol structure

## Properties
Symmetry   P4/mmm (123)
DFT formation energy   2058 meV per atom

Cell: 4.7642 4.7642 5.4403 Å, 90.00 90.00 90.00°
Closest atoms and distances in Å follow each position.
Positions (direct):
1 K 0.0000 0.0000 0.0000  4 Nb 2.38
2 Sr 0.5000 0.5000 0.5000  4 Zn 3.37, 8 Nb 3.62
3 Nb 0.0000 0.5000 0.0000  2 K 2.38
4 Nb 0.5000 0.0000 0.0000  2 K 2.38
5 Zn 0.0000 0.0000 0.5000  2 K 2.72

---

4.
Compound: KNb2Te2
Source: Alexandria
Functional: meta-GGA SCAN
Structure: single point on PBEsol structure

## Properties
E_form (uncorrected)   -633 meV per atom
Symmetry   I4/mmm (139)

Cell: 4.0318 4.0318 8.6632 Å, 103.46 103.46 90.00°
Closest atoms and distances in Å follow each position.
Positions (direct):
1 Nb 0.2500 0.7500 0.5000  4 Te 2.82, 4 Nb 2.85
2 Nb 0.7500 0.2500 0.5000  4 Te 2.82, 4 Nb 2.85
3 Te 0.3706 0.3706 0.7413  4 Nb 2.82
4 Te 0.6294 0.6294 0.2587  4 Nb 2.82
5 K 0.0000 0.0000 0.0000  8 Te 3.55

---

5.
Compound: K2NbTl
Source: Alexandria
Functional: meta-GGA SCAN
Structure: single point on PBEsol structure

## Properties
Symmetry   Fm-3m (225)
DFT formation energy   968 meV per atom

Cell: 5.7834 5.7834 5.7834 Å, 60.00 60.00 60.00°
Closest atoms and distances in Å follow each position.
Positions (direct):
1 K 0.2500 0.2500 0.2500  4 Tl 3.54, 4 Nb 3.54
2 K 0.7500 0.7500 0.7500  4 Tl 3.54, 4 Nb 3.54
3 Tl 0.5000 0.5000 0.5000  8 K 3.54
4 Nb 0.0000 0.0000 0.0000  8 K 3.54

---

6.
Compound: K3NbZn
Source: Alexandria
Functional: meta-GGA SCAN
Structure: single point on PBEsol structure

## Properties
Symmetry   Pm-3m (221)
DFT formation energy   1158 meV per atom

Cell: 6.6972 6.6972 6.6972 Å, 90.00 90.00 90.00°
Closest atoms and distances in Å follow each position.
Positions (direct):
1 K 0.0000 0.5000 0.0000  2 Nb 3.35
2 K 0.0000 0.0000 0.5000  2 Nb 3.35
3 K 0.5000 0.0000 0.0000  2 Nb 3.35
4 Nb 0.0000 0.0000 0.0000  6 K 3.35
5 Zn 0.5000 0.5000 0.5000  12 K 4.74

---

7.
Compound: K2ZrNb
Source: Alexandria
Functional: meta-GGA SCAN
Structure: single point on PBEsol structure

## Properties
Symmetry   Fm-3m (225)
DFT formation energy   1834 meV per atom

Cell: 5.5424 5.5424 5.5424 Å, 60.00 60.00 60.00°
Closest atoms and distances in Å follow each position.
Positions (direct):
1 Nb 0.5000 0.5000 0.5000  8 K 3.39
2 K 0.2500 0.2500 0.2500  4 Nb 3.39, 4 Zr 3.39
3 K 0.7500 0.7500 0.7500  4 Nb 3.39, 4 Zr 3.39
4 Zr 0.0000 0.0000 0.0000  8 K 3.39

---

8.
Compound: KZrNb3
Source: Alexandria
Functional: meta-GGA SCAN
Structure: single point on PBEsol structure

## Properties
Symmetry   Pm-3m (221)
DFT formation energy   1747 meV per atom

Cell: 5.0343 5.0343 5.0343 Å, 90.00 90.00 90.00°
Closest atoms and distances in Å follow each position.
Positions (direct):
1 Nb 0.0000 0.5000 0.0000  2 Zr 2.52
2 Nb 0.0000 0.0000 0.5000  2 Zr 2.52
3 Nb 0.5000 0.0000 0.0000  2 Zr 2.52
4 K 0.5000 0.5000 0.5000  12 Nb 3.56
5 Zr 0.0000 0.0000 0.0000  6 Nb 2.52

---

9.
Compound: K2NdP5O15
Source: Alexandria
Functional: meta-GGA SCAN
Structure: single point on PBEsol structure

## Properties
E_form (uncorrected)   -2675 meV per atom
Symmetry   Cc (9)

Cell: 7.1524 7.1524 13.3020 Å, 90.43 90.43 108.07°
Closest atoms and distances in Å follow each position.
Positions (direct):
1 K 0.5634 0.7943 0.0575  3 O 2.61-2.87
2 K 0.6988 0.3108 0.2548  4 O 2.72-3.04
3 K 0.7943 0.5634 0.5575  3 O 2.61-2.87
4 K 0.3108 0.6988 0.7548  4 O 2.72-3.04
5 Nd 0.0925 0.9068 0.2503  8 O 2.33-2.60
6 Nd 0.9068 0.0925 0.7503  8 O 2.33-2.60
7 P 0.6093 0.0049 0.5097  4 O 1.49-1.63
8 P 0.3910 0.2361 0.0594  4 O 1.48-1.63
9 P 0.5586 0.7737 0.3258  4 O 1.50-1.62
10 P 0.1820 0.9674 0.5284  4 O 1.50-1.59
11 P 0.2361 0.3910 0.5594  4 O 1.48-1.63
12 P 0.1901 0.4479 0.3422  4 O 1.49-1.62
13 P 0.4479 0.1901 0.8422  4 O 1.49-1.62
14 P 0.9674 0.1820 0.0284  4 O 1.50-1.59
15 P 0.7737 0.5586 0.8258  4 O 1.50-1.62
16 P 0.0049 0.6093 0.0097  4 O 1.49-1.63
17 O 0.2370 0.1478 0.8120  1 P 1.49
18 O 0.0804 0.9166 0.6275  1 P 1.50
19 O 0.9166 0.0804 0.1275  1 P 1.50
20 O 0.4265 0.5452 0.3331  2 P 1.62
21 O 0.8268 0.6324 0.9392  2 P 1.60-1.63
22 O 0.1986 0.2721 0.0143  2 P 1.59
23 O 0.6551 0.1923 0.4534  1 P 1.49
24 O 0.1923 0.6551 0.9534  1 P 1.49
25 O 0.1478 0.2370 0.3120  1 P 1.49
26 O 0.7726 0.7360 0.7668  1 P 1.50
27 O 0.3413 0.0677 0.1316  1 P 1.50
28 O 0.5660 0.0806 0.7888  1 P 1.50
29 O 0.5452 0.4265 0.8331  2 P 1.62
30 O 0.7198 0.9933 0.6038  1 P 1.49
31 O 0.4270 0.5292 0.5936  1 P 1.48
32 O 0.1527 0.4710 0.4600  2 P 1.61-1.63
33 O 0.5292 0.4270 0.0936  1 P 1.48
34 O 0.4328 0.8941 0.2911  1 P 1.50
35 O 0.0806 0.5660 0.2888  1 P 1.50
36 O 0.8768 0.0723 0.9346  1 P 1.50
37 O 0.9114 0.3804 0.0374  2 P 1.59-1.61
38 O 0.6324 0.8268 0.4392  2 P 1.60-1.63
39 O 0.9933 0.7198 0.1038  1 P 1.49
40 O 0.2721 0.1986 0.5143  2 P 1.59
41 O 0.4710 0.1527 0.9600  2 P 1.61-1.63
42 O 0.3804 0.9114 0.5374  2 P 1.59-1.61
43 O 0.0723 0.8768 0.4346  1 P 1.50
44 O 0.0677 0.3413 0.6316  1 P 1.50
45 O 0.8941 0.4328 0.7911  1 P 1.50
46 O 0.7360 0.7726 0.2668  1 P 1.50

---

10.
Compound: KNdS2O8
Source: Alexandria
Functional: meta-GGA SCAN
Structure: single point on PBEsol structure

## Properties
E_form (uncorrected)   -2366 meV per atom
Polymorph energy (0 for the lowest one)   0.000 eV per atom
Symmetry   P2_1/c (14)

Cell: 7.1540 8.5746 10.6424 Å, 92.50 90.00 90.00°
Closest atoms and distances in Å follow each position.
Positions (direct):
1 K 0.1483 0.5638 0.3441  8 O 2.73-3.05
2 K 0.6483 0.4362 0.1559  8 O 2.73-3.05
3 K 0.8517 0.4362 0.6559  8 O 2.73-3.05
4 K 0.3517 0.5638 0.8441  8 O 2.73-3.05
5 Nd 0.3317 0.0570 0.3489  9 O 2.42-2.61
6 Nd 0.8317 0.9430 0.1511  9 O 2.42-2.61
7 Nd 0.6683 0.9430 0.6511  9 O 2.42-2.61
8 Nd 0.1683 0.0570 0.8489  9 O 2.42-2.61
9 S 0.1577 0.2760 0.0905  4 O 1.45-1.52
10 S 0.6577 0.7240 0.4095  4 O 1.45-1.52
11 S 0.8423 0.7240 0.9095  4 O 1.45-1.52
12 S 0.3423 0.2760 0.5905  4 O 1.45-1.52
13 S 0.3347 0.8149 0.1092  4 O 1.45-1.52
14 S 0.8347 0.1851 0.3908  4 O 1.45-1.52
15 S 0.6653 0.1851 0.8908  4 O 1.45-1.52
16 S 0.1653 0.8149 0.6092  4 O 1.45-1.52
17 O 0.0295 0.3979 0.1326  1 S 1.45
18 O 0.5295 0.6021 0.3674  1 S 1.45
19 O 0.9705 0.6021 0.8674  1 S 1.45
20 O 0.4705 0.3979 0.6326  1 S 1.45
21 O 0.2511 0.3045 0.4676  1 S 1.49
22 O 0.7511 0.6955 0.0324  1 S 1.49
23 O 0.7489 0.6955 0.5324  1 S 1.49
24 O 0.2489 0.3045 0.9676  1 S 1.49
25 O 0.3042 0.2490 0.1872  1 S 1.49
26 O 0.8042 0.7510 0.3128  1 S 1.49
27 O 0.6958 0.7510 0.8128  1 S 1.49
28 O 0.1958 0.2490 0.6872  1 S 1.49
29 O 0.5559 0.8766 0.4383  1 S 1.52
30 O 0.0559 0.1234 0.0617  1 S 1.52
31 O 0.4441 0.1234 0.5617  1 S 1.52
32 O 0.9441 0.8766 0.9383  1 S 1.52
33 O 0.3221 0.8732 0.9812  1 S 1.47
34 O 0.8221 0.1268 0.5188  1 S 1.47
35 O 0.6779 0.1268 0.0188  1 S 1.47
36 O 0.1779 0.8732 0.4812  1 S 1.47
37 O 0.1424 0.6470 0.6065  1 S 1.45
38 O 0.6424 0.3530 0.8935  1 S 1.45
39 O 0.8576 0.3530 0.3935  1 S 1.45
40 O 0.3576 0.6470 0.1065  1 S 1.45
41 O 0.3331 0.8628 0.6894  1 S 1.52
42 O 0.8331 0.1372 0.8106  1 S 1.52
43 O 0.6669 0.1372 0.3106  1 S 1.52
44 O 0.1669 0.8628 0.1894  1 S 1.52
45 O 0.0082 0.9007 0.6778  1 S 1.51
46 O 0.5082 0.0993 0.8222  1 S 1.51
47 O 0.9918 0.0993 0.3222  1 S 1.51
48 O 0.4918 0.9007 0.1778  1 S 1.51

---

11.
Compound: KNdS2O8
Source: Alexandria
Functional: meta-GGA SCAN
Structure: single point on PBEsol structure

## Properties
E_form (uncorrected)   -2362 meV per atom
Polymorph energy (0 for the lowest one)   0.004 eV per atom
Symmetry   P-1 (2)

Cell: 5.3564 6.9232 9.0685 Å, 97.51 92.79 90.75°
Closest atoms and distances in Å follow each position.
Positions (direct):
1 K 0.7268 0.1777 0.1838  5 O 2.68-2.99
2 K 0.2732 0.8223 0.8162  5 O 2.68-2.99
3 Nd 0.2473 0.6973 0.2774  8 O 2.37-2.57
4 Nd 0.7527 0.3027 0.7226  8 O 2.37-2.57
5 S 0.2381 0.3157 0.9282  4 O 1.47-1.49
6 S 0.7742 0.7770 0.5593  4 O 1.47-1.49
7 S 0.7619 0.6843 0.0718  4 O 1.47-1.49
8 S 0.2258 0.2230 0.4407  4 O 1.47-1.49
9 O 0.7198 0.5663 0.9259  1 S 1.47
10 O 0.3037 0.3991 0.3765  1 S 1.48
11 O 0.6963 0.6009 0.6235  1 S 1.48
12 O 0.0299 0.7508 0.5041  1 S 1.49
13 O 0.2175 0.0556 0.3197  1 S 1.49
14 O 0.4605 0.1920 0.8974  1 S 1.49
15 O 0.9884 0.8122 0.0740  1 S 1.49
16 O 0.1946 0.4367 0.8050  1 S 1.49
17 O 0.9701 0.2492 0.4959  1 S 1.49
18 O 0.5395 0.8080 0.1026  1 S 1.49
19 O 0.8054 0.5633 0.1950  1 S 1.49
20 O 0.2802 0.4337 0.0741  1 S 1.47
21 O 0.0116 0.1878 0.9260  1 S 1.49
22 O 0.7825 0.9444 0.6803  1 S 1.49
23 O 0.4043 0.1883 0.5625  1 S 1.47
24 O 0.5957 0.8117 0.4375  1 S 1.47

---

12.
Compound: KNdSe2O8
Source: Alexandria
Functional: meta-GGA SCAN
Structure: single point on PBEsol structure

## Properties
E_form (uncorrected)   -1740 meV per atom
Symmetry   P2_1/c (14)

Cell: 7.3293 8.7829 11.0241 Å, 91.43 90.00 90.00°
Closest atoms and distances in Å follow each position.
Positions (direct):
1 K 0.6439 0.5669 0.8418  6 O 2.74-2.90
2 K 0.3561 0.4331 0.1582  6 O 2.74-2.90
3 K 0.1439 0.4331 0.6582  6 O 2.74-2.90
4 K 0.8561 0.5669 0.3418  6 O 2.74-2.90
5 Nd 0.8351 0.0563 0.8476  9 O 2.42-2.66
6 Nd 0.1649 0.9437 0.1524  9 O 2.42-2.66
7 Nd 0.3351 0.9437 0.6524  9 O 2.42-2.66
8 Nd 0.6649 0.0563 0.3476  9 O 2.42-2.66
9 Se 0.8376 0.8109 0.6077  4 O 1.63-1.70
10 Se 0.1624 0.1891 0.3923  4 O 1.63-1.70
11 Se 0.3376 0.1891 0.8923  4 O 1.63-1.70
12 Se 0.6624 0.8109 0.1077  4 O 1.63-1.70
13 Se 0.6585 0.2806 0.5887  4 O 1.63-1.69
14 Se 0.3415 0.7194 0.4113  4 O 1.63-1.69
15 Se 0.1585 0.7194 0.9113  4 O 1.63-1.69
16 Se 0.8415 0.2806 0.0887  4 O 1.63-1.69
17 O 0.1636 0.1190 0.5302  1 Se 1.65
18 O 0.8364 0.8810 0.4698  1 Se 1.65
19 O 0.6636 0.8810 0.9698  1 Se 1.65
20 O 0.3364 0.1190 0.0302  1 Se 1.65
21 O 0.5044 0.1020 0.8101  1 Se 1.69
22 O 0.4956 0.8980 0.1899  1 Se 1.69
23 O 0.0044 0.8980 0.6899  1 Se 1.69
24 O 0.9956 0.1020 0.3101  1 Se 1.69
25 O 0.8506 0.6255 0.6013  1 Se 1.63
26 O 0.1494 0.3745 0.3987  1 Se 1.63
27 O 0.3506 0.3745 0.8987  1 Se 1.63
28 O 0.6494 0.6255 0.1013  1 Se 1.63
29 O 0.7445 0.3046 0.9532  1 Se 1.67
30 O 0.2555 0.6954 0.0468  1 Se 1.67
31 O 0.2445 0.6954 0.5468  1 Se 1.67
32 O 0.7555 0.3046 0.4532  1 Se 1.67
33 O 0.5467 0.1168 0.5533  1 Se 1.69
34 O 0.4533 0.8832 0.4467  1 Se 1.69
35 O 0.0467 0.8832 0.9467  1 Se 1.69
36 O 0.9533 0.1168 0.0533  1 Se 1.69
37 O 0.5185 0.4129 0.6369  1 Se 1.63
38 O 0.4815 0.5871 0.3631  1 Se 1.63
39 O 0.0185 0.5871 0.8631  1 Se 1.63
40 O 0.9815 0.4129 0.1369  1 Se 1.63
41 O 0.1594 0.1337 0.8035  1 Se 1.70
42 O 0.8406 0.8663 0.1965  1 Se 1.70
43 O 0.6594 0.8663 0.6965  1 Se 1.70
44 O 0.3406 0.1337 0.3035  1 Se 1.70
45 O 0.8217 0.2469 0.6905  1 Se 1.67
46 O 0.1783 0.7531 0.3095  1 Se 1.67
47 O 0.3217 0.7531 0.8095  1 Se 1.67
48 O 0.6783 0.2469 0.1905  1 Se 1.67

---

What did the sixth record say?
Compound: K3NbZn
Source: Alexandria
Functional: meta-GGA SCAN
Structure: single point on PBEsol structure

## Properties
Symmetry   Pm-3m (221)
DFT formation energy   1158 meV per atom

Cell: 6.6972 6.6972 6.6972 Å, 90.00 90.00 90.00°
Closest atoms and distances in Å follow each position.
Positions (direct):
1 K 0.0000 0.5000 0.0000  2 Nb 3.35
2 K 0.0000 0.0000 0.5000  2 Nb 3.35
3 K 0.5000 0.0000 0.0000  2 Nb 3.35
4 Nb 0.0000 0.0000 0.0000  6 K 3.35
5 Zn 0.5000 0.5000 0.5000  12 K 4.74